[1]
The following is a DFT calculation (GGA-PBE) of NaY2PuSe4 after structural relaxation.

Formation energy (no corrections) in eV per formula unit: -13.40

Lattice parameters (Å, degrees): 7.1583 4.1149 7.2149 90.00 109.27 90.00
With the nearest neighbours (Å) after each atom.
Atoms (fractional coordinates):
Na: 0.0000 0.0000 0.0000  6 Se 2.95-2.96
Y: 0.0000 0.5000 0.5000  6 Se 2.89-2.90
Y: 0.5000 0.0000 0.5000  6 Se 2.89-2.91
Pu: 0.5000 0.5000 0.0000  6 Se 2.95-2.97
Se: 0.2481 0.0000 0.7449  3 Y 2.90-2.91, 2 Pu 2.95, 1 Na 2.95
Se: 0.2530 0.5000 0.2592  3 Y 2.89, 2 Na 2.96, 1 Pu 2.97
Se: 0.7470 0.5000 0.7408  3 Y 2.89, 2 Na 2.96, 1 Pu 2.97
Se: 0.7519 0.0000 0.2551  3 Y 2.90-2.91, 2 Pu 2.95, 1 Na 2.95


[2]
The following is a DFT calculation (GGA-PBE) of Na3YPu2Se6 after structural relaxation.

Formation energy (no corrections) in eV per formula unit: -18.03

Lattice parameters (Å, degrees): 7.2591 7.2591 7.3712 99.44 99.44 120.00
With the nearest neighbours (Å) after each atom.
Atoms (fractional coordinates):
Na: 0.0000 0.0000 0.0000  6 Se 3.06-3.07
Na: 0.3335 0.6665 0.0000  6 Se 3.06-3.07
Na: 0.6665 0.3335 0.0000  6 Se 3.06-3.07
Y: 0.5000 0.5000 0.5000  6 Se 2.89
Pu: 0.1667 0.8333 0.5000  6 Se 2.91
Pu: 0.8333 0.1667 0.5000  6 Se 2.91
Se: 0.0915 0.4231 0.2693  1 Y 2.89, 2 Pu 2.91, 3 Na 3.06-3.07
Se: 0.2453 0.2453 0.7306  1 Y 2.89, 2 Pu 2.91, 3 Na 3.06-3.07
Se: 0.4231 0.0915 0.2693  1 Y 2.89, 2 Pu 2.91, 3 Na 3.06-3.07
Se: 0.5769 0.9085 0.7307  1 Y 2.89, 2 Pu 2.91, 3 Na 3.06-3.07
Se: 0.7547 0.7547 0.2694  1 Y 2.89, 2 Pu 2.91, 3 Na 3.06-3.07
Se: 0.9085 0.5769 0.7307  1 Y 2.89, 2 Pu 2.91, 3 Na 3.06-3.07


[3]
The following is a DFT calculation (GGA-PBE) of Na3Y2PuSe6 after structural relaxation.

Formation energy (no corrections) in eV per formula unit: -19.16

Lattice parameters (Å, degrees): 7.2415 7.2415 7.3843 99.41 99.41 120.00
With the nearest neighbours (Å) after each atom.
Atoms (fractional coordinates):
Na: 0.0000 0.0000 0.0000  6 Se 3.04-3.07
Na: 0.3339 0.6661 0.0000  6 Se 3.05-3.07
Na: 0.6661 0.3339 0.0000  6 Se 3.05-3.07
Y: 0.1667 0.8333 0.5000  6 Se 2.89
Y: 0.8333 0.1667 0.5000  6 Se 2.89
Pu: 0.5000 0.5000 0.5000  6 Se 2.92
Se: 0.0864 0.4232 0.2696  2 Y 2.89, 1 Pu 2.92, 3 Na 3.05-3.07
Se: 0.2399 0.2399 0.7305  2 Y 2.89, 1 Pu 2.92, 3 Na 3.04-3.07
Se: 0.4232 0.0864 0.2696  2 Y 2.89, 1 Pu 2.92, 3 Na 3.05-3.07
Se: 0.5768 0.9136 0.7304  2 Y 2.89, 1 Pu 2.92, 3 Na 3.05-3.07
Se: 0.7601 0.7601 0.2695  2 Y 2.89, 1 Pu 2.92, 3 Na 3.04-3.07
Se: 0.9136 0.5768 0.7304  2 Y 2.89, 1 Pu 2.92, 3 Na 3.05-3.07


[4]
The following is a DFT calculation (GGA-PBE) of Na4Y3PuSe8 after structural relaxation.

Formation energy (no corrections) in eV per formula unit: -26.04

Lattice parameters (Å, degrees): 8.4894 8.4894 8.4894 58.84 58.84 58.84
With the nearest neighbours (Å) after each atom.
Atoms (fractional coordinates):
Na: 0.0000 0.0000 0.0000  6 Se 3.04
Na: 0.0000 0.5000 0.5000  6 Se 3.06-3.07
Na: 0.5000 0.0000 0.5000  6 Se 3.06-3.07
Na: 0.5000 0.5000 0.0000  6 Se 3.06-3.07
Y: 0.0000 0.0000 0.5000  6 Se 2.89-2.90
Y: 0.0000 0.5000 0.0000  6 Se 2.89-2.90
Y: 0.5000 0.0000 0.0000  6 Se 2.89-2.90
Pu: 0.5000 0.5000 0.5000  6 Se 2.92
Se: 0.2402 0.7451 0.7451  2 Y 2.89, 1 Pu 2.92, 3 Na 3.04-3.07
Se: 0.2434 0.2434 0.2434  3 Y 2.90, 3 Na 3.06
Se: 0.2549 0.2549 0.7598  2 Y 2.89, 1 Pu 2.92, 3 Na 3.04-3.07
Se: 0.2549 0.7598 0.2549  2 Y 2.89, 1 Pu 2.92, 3 Na 3.04-3.07
Se: 0.7451 0.2402 0.7451  2 Y 2.89, 1 Pu 2.92, 3 Na 3.04-3.07
Se: 0.7451 0.7451 0.2402  2 Y 2.89, 1 Pu 2.92, 3 Na 3.04-3.07
Se: 0.7566 0.7566 0.7566  3 Y 2.90, 3 Na 3.06
Se: 0.7598 0.2549 0.2549  2 Y 2.89, 1 Pu 2.92, 3 Na 3.04-3.07


[5]
The following is a DFT calculation (GGA-PBE) of NaY3Pu2Se6 after structural relaxation.

Formation energy (no corrections) in eV per formula unit: -20.10

Lattice parameters (Å, degrees): 9.2602 9.2602 8.2929 103.40 103.40 25.64
With the nearest neighbours (Å) after each atom.
Atoms (fractional coordinates):
Na: 0.0000 0.0000 0.0000  6 Se 2.94-2.95
Y: 0.0000 0.0000 0.5000  6 Se 2.89-2.90
Y: 0.3334 0.3334 0.1693  6 Se 2.89-2.91
Y: 0.6666 0.6666 0.8307  6 Se 2.89-2.91
Pu: 0.3331 0.3331 0.6666  6 Se 2.93-2.96
Pu: 0.6669 0.6669 0.3334  6 Se 2.93-2.96
Se: 0.1654 0.1654 0.5841  3 Y 2.90, 3 Pu 2.93-2.94
Se: 0.1677 0.1677 0.0787  3 Y 2.90-2.91, 1 Na 2.94, 2 Pu 2.95
Se: 0.4983 0.4983 0.2543  3 Y 2.89, 2 Na 2.95, 1 Pu 2.96
Se: 0.5017 0.5017 0.7457  3 Y 2.89, 2 Na 2.95, 1 Pu 2.96
Se: 0.8323 0.8323 0.9213  3 Y 2.90-2.91, 1 Na 2.94, 2 Pu 2.95
Se: 0.8346 0.8346 0.4159  3 Y 2.90, 3 Pu 2.93-2.94


[6]
The following is a DFT calculation (GGA-PBE) of Na4YPu3Se8 after structural relaxation.

Formation energy (no corrections) in eV per formula unit: -23.69

Lattice parameters (Å, degrees): 8.4706 8.4706 8.4706 59.46 59.46 59.46
With the nearest neighbours (Å) after each atom.
Atoms (fractional coordinates):
Na: 0.0000 0.0000 0.0000  6 Se 3.08
Na: 0.0000 0.5000 0.5000  6 Se 3.05-3.07
Na: 0.5000 0.0000 0.5000  6 Se 3.05-3.07
Na: 0.5000 0.5000 0.0000  6 Se 3.05-3.07
Y: 0.5000 0.5000 0.5000  6 Se 2.89
Pu: 0.0000 0.0000 0.5000  6 Se 2.90-2.91
Pu: 0.0000 0.5000 0.0000  6 Se 2.90-2.91
Pu: 0.5000 0.0000 0.0000  6 Se 2.90-2.91
Se: 0.2429 0.2429 0.2429  3 Pu 2.90, 3 Na 3.07
Se: 0.2461 0.7423 0.7423  1 Y 2.89, 2 Pu 2.91, 3 Na 3.05-3.08
Se: 0.2577 0.2577 0.7539  1 Y 2.89, 2 Pu 2.91, 3 Na 3.05-3.08
Se: 0.2577 0.7539 0.2577  1 Y 2.89, 2 Pu 2.91, 3 Na 3.05-3.08
Se: 0.7423 0.2461 0.7423  1 Y 2.89, 2 Pu 2.91, 3 Na 3.05-3.08
Se: 0.7423 0.7423 0.2461  1 Y 2.89, 2 Pu 2.91, 3 Na 3.05-3.08
Se: 0.7539 0.2577 0.2577  1 Y 2.89, 2 Pu 2.91, 3 Na 3.05-3.08
Se: 0.7571 0.7571 0.7571  3 Pu 2.90, 3 Na 3.07